Entry 1:
{
  "formula": "Na3Hg4Pd8",
  "functional": "PBE",
  "state": "optimized geometry",
  "formation_enthalpy_0k_ev_per_atom": -0.182,
  "spacegroup": "Fm-3m (225)",
  "lattice": [[-8.5783, -3.8164, -0.3164], [-2.6834, -4.9046, -7.5495], [-1.0181, -9.3213, 0.5727]],
  "species": ["Na", "Hg", "Pd", "Pd", "Hg", "Pd", "Pd", "Pd", "Pd", "Pd", "Na", "Hg", "Pd", "Hg", "Pd", "Pd", "Na", "Pd", "Pd", "Na", "Hg", "Hg", "Pd", "Hg", "Na", "Pd", "Pd", "Na", "Pd", "Hg"],
  "frac_coords": [[0.7285, 0.2715, 0.7285], [0.5000, 0.0000, 0.5000], [0.6743, 0.9771, 0.6743], [0.9771, 0.6743, 0.6743], [0.5000, 0.5000, 0.0000], [0.6743, 0.6743, 0.6743], [0.1219, 0.1219, 0.1219], [0.1219, 0.1219, 0.6344], [0.6344, 0.1219, 0.1219], [0.8781, 0.8781, 0.3656], [0.2715, 0.7285, 0.7285], [0.5000, 0.5000, 0.5000], [0.8781, 0.3656, 0.8781], [0.0000, 0.0000, 0.5000], [0.3257, 0.3257, 0.3257], [0.3257, 0.3257, 0.0229], [0.2715, 0.2715, 0.7285], [0.0229, 0.3257, 0.3257], [0.1219, 0.6344, 0.1219], [0.7285, 0.2715, 0.2715], [0.5000, 0.0000, 0.0000], [0.0000, 0.5000, 0.0000], [0.3257, 0.0229, 0.3257], [0.0000, 0.5000, 0.5000], [0.7285, 0.7285, 0.2715], [0.8781, 0.8781, 0.8781], [0.3656, 0.8781, 0.8781], [0.2715, 0.7285, 0.2715], [0.6743, 0.6743, 0.9771], [0.0000, 0.0000, 0.0000]]
}

=====

Entry 2:
{
  "formula": "NaHg2Pd",
  "functional": "PBE",
  "state": "optimized geometry",
  "formation_enthalpy_0k_ev_per_atom": -0.140,
  "spacegroup": "P4/mmm (123)",
  "lattice": [[4.0260, 0.0000, 0.0000], [0.0000, 4.4820, 0.0000], [0.0000, 0.0000, 4.4820]],
  "species": ["Hg", "Pd", "Na", "Hg"],
  "frac_coords": [[0.0000, 0.5000, 0.0000], [0.5000, 0.5000, 0.5000], [0.5000, 0.0000, 0.0000], [0.0000, 0.0000, 0.5000]]
}